DFT (GGA+U) results for crystalline PmNi2IO8 at its relaxed geometry.

a = 4.5764 Å, b = 6.9581 Å, c = 4.5910 Å
α = 90.00°, β = 91.01°, γ = 90.00°
Closest atoms and distances in Å follow each position.
Positions (direct):
Pm (0.0000, 0.0000, 0.0000)  6 O 2.36-2.52
Ni (0.5000, 0.2902, 0.5000)  6 O 1.99-2.16
Ni (0.5000, 0.7098, 0.5000)  6 O 1.99-2.16
I (0.0000, 0.5000, 0.0000)  6 O 1.87-1.93
O (0.2059, 0.2884, 0.8254)  1 I 1.93, 1 Ni 2.03
O (0.2059, 0.7116, 0.8254)  1 I 1.93, 1 Ni 2.03
O (0.2694, 0.5000, 0.3114)  1 I 1.87, 2 Ni 1.99
O (0.3446, 0.0000, 0.4353)  1 O 1.53
O (0.6554, 0.0000, 0.5647)  1 O 1.53
O (0.7306, 0.5000, 0.6886)  1 I 1.87, 2 Ni 1.99
O (0.7941, 0.2884, 0.1746)  1 I 1.93, 1 Ni 2.03
O (0.7941, 0.7116, 0.1746)  1 I 1.93, 1 Ni 2.03

Values from the calculation:
**Energy**: -63.682 eV per cell
**Magnetization**: 4.0 μB per cell
**Space-group type**: P2/m, No. 10